ScHg2Br after structural relaxation, computed with GGA-PBE.

Cell and atoms, written as POSCAR:
```
ScHg2Br
1.0
3.426 0.000 0.000
0.000 3.426 0.000
0.000 0.000 8.706
Br Hg Sc
1 2 1
Direct
0.500 0.500 0.680
0.000 0.000 0.028
0.500 0.500 0.285
0.000 0.000 0.507
```

## Properties
The total moment comes out at 0.00 μB per atom. As for the space-group type: No. 99. The calculation puts the density of states at the Fermi level at 0.794 states/eV/atom. The volume comes out at 102.2 Å³/cell. The energy above the most stable polymorph in this dataset is 36 meV per atom. The value obtained for the formation energy without anion corrections is -0.49 eV/atom.